1.
Compound: KNa2RhBr6
Source: Alexandria
Functional: GGA-PBE
Structure: optimized geometry

The structure belongs to space group P1 (No. 1); the cell edges are 7.375, 7.382 and 7.851 Å and the angles 61.99°, 62.01° and 60.04°. The inequivalent atoms are K at (0.000, 0.000, 0.000), Na at (0.193, 0.192, 0.422), Na at (0.712, 0.712, 0.863), Rh at (0.517, 0.517, 0.449), Br at (0.163, 0.732, 0.667), Br at (0.332, 0.571, 0.220), Br at (0.437, 0.163, 0.667), Br at (0.572, 0.875, 0.220), Br at (0.733, 0.437, 0.667) and Br at (0.875, 0.333, 0.220).

As for the uncorrected formation energy: -1.084 eV per atom. The value obtained for the total energy is -32.0 eV/cell.

2.
Compound: BaZnH4
Source: Alexandria
Functional: GGA-PBE
Structure: optimized geometry

The structure belongs to space group Pnma (No. 62); the cell edges are 9.008, 5.191 and 7.137 Å and the angles 90.00°, 90.00° and 90.00°. The inequivalent atoms are Ba at (0.187, 0.250, 0.153), Zn at (0.052, 0.250, 0.692), H at (0.084, 0.505, 0.829), H at (0.126, 0.750, 0.356) and H at (0.180, 0.250, 0.528).

The value obtained for the total energy is -75.1 eV/cell. The density of states at the Fermi level is 0.0 states/eV per cell.

3.
Compound: NdHo9Th2
Source: Alexandria
Functional: GGA-PBE
Structure: optimized geometry

The structure belongs to space group P6/mmm (No. 191); the cell edges are 11.3153, 11.3153 and 3.5007 Å and the angles 90.00°, 90.00° and 120.00°. The inequivalent atoms are Nd at (0.0000, 0.0000, 0.0000), Ho at (0.0000, 0.5000, 0.0000), Ho at (0.1755, 0.3509, 0.5000) and Th at (0.3333, 0.6667, 0.0000).

The value obtained for the total energy is -59.6 eV/cell. The density of states at the Fermi level is 21.8 states/eV per cell. The calculation puts the formation energy at 102 meV/atom.

4.
Compound: Y2TaBr
Source: Alexandria
Functional: GGA-PBE
Structure: optimized geometry

The structure belongs to space group P4/mmm (No. 123); the cell edges are 5.517, 5.517 and 3.288 Å and the angles 90.00°, 90.00° and 90.00°. The inequivalent atoms are Y at (0.000, 0.500, 0.000), Ta at (0.000, 0.000, 0.500) and Br at (0.500, 0.500, 0.500).

As for the uncorrected formation energy: 0.005 eV per atom. The value obtained for the total energy is -26.4 eV/cell. The density of states at the Fermi level is 5.4 states/eV per cell.

5.
Compound: LaTiCu
Source: Alexandria
Functional: GGA-PBE
Structure: optimized geometry

The structure belongs to space group Pnma (No. 62); the cell edges are 6.775, 3.239 and 11.266 Å and the angles 90.00°, 90.00° and 90.00°. The inequivalent atoms are La at (0.143, 0.250, 0.092), Ti at (0.080, 0.250, 0.396) and Cu at (0.157, 0.250, 0.779).

The value obtained for the total energy is -65.7 eV/cell. The density of states at the Fermi level is 17.4 states/eV per cell. The calculation puts the formation energy at 162 meV/atom.

6.
Compound: RbOsPb2
Source: Alexandria
Functional: GGA-PBE
Structure: optimized geometry

The structure belongs to space group I4_1/amd (No. 141, origin choice 2); the cell edges are 7.112, 7.112 and 14.801 Å and the angles 90.00°, 90.00° and 90.00°. The inequivalent atoms are Rb at (0.000, 0.250, 0.375), Os at (0.000, 0.250, 0.875) and Pb at (0.000, 0.000, 0.000).

The value obtained for the total energy is -69.7 eV/cell. The density of states at the Fermi level is 7.5 states/eV per cell. The calculation puts the formation energy at 550 meV/atom.

7.
Compound: Pr3Nd4Ho4
Source: Alexandria
Functional: GGA-PBE
Structure: optimized geometry

The structure belongs to space group Amm2 (No. 38); the cell edges are 10.840, 5.787 and 12.138 Å and the angles 90.00°, 90.00° and 90.00°. The inequivalent atoms are Pr at (0.000, 0.000, 0.000), Pr at (0.291, 0.000, 0.157), Nd at (0.000, 0.000, 0.706), Nd at (0.213, 0.000, 0.498), Nd at (0.500, 0.000, 0.630), Ho at (0.000, 0.000, 0.303), Ho at (0.304, 0.000, 0.852) and Ho at (0.500, 0.000, 0.358).

The value obtained for the total energy is -100.1 eV/cell. The density of states at the Fermi level is 34.7 states/eV per cell. The calculation puts the formation energy at 151 meV/atom.

8.
Compound: YCd2PtAu
Source: Alexandria
Functional: GGA-PBE
Structure: optimized geometry

The structure belongs to space group P4/mmm (No. 123); the cell edges are 5.028, 5.028 and 5.233 Å and the angles 90.00°, 90.00° and 90.00°. The inequivalent atoms are Y at (0.000, 0.000, 0.000), Cd at (0.000, 0.500, 0.500), Pt at (0.500, 0.500, 0.000) and Au at (0.500, 0.500, 0.500).

The value obtained for the total energy is -16.8 eV/cell. The density of states at the Fermi level is 3.5 states/eV per cell. The calculation puts the formation energy at 162 meV/atom.